Entry 1:
CaZn2 | PBE | relaxed

Cell: 6.898 6.898 4.786 Å, 90.00 90.00 145.68°
Sites, in units of the cell vectors:
Ca 0.090 0.910 0.750
Ca 0.910 0.090 0.250
Zn 0.240 0.760 0.250
Zn 0.382 0.618 0.750
Zn 0.618 0.382 0.250
Zn 0.760 0.240 0.750

Computed properties:
Space-group type ... Cmcm, No. 63

Entry 2:
Ca5Zn3 | PBE | relaxed

Cell: 6.742 6.742 5.210 Å, 90.00 90.00 104.61°
Sites, in units of the cell vectors:
Ca 0.000 0.000 0.000
Ca 0.000 0.500 0.000
Ca 0.290 0.290 0.500
Ca 0.500 0.000 0.000
Ca 0.710 0.710 0.500
Zn 0.213 0.787 0.500
Zn 0.500 0.500 0.000
Zn 0.787 0.213 0.500

Computed properties:
Space-group type ... Cmmm, No. 65
ΔE to the lowest computed polymorph ... 0.097 eV per atom

Entry 3:
Ca3Zn11 | PBE | relaxed

Cell: 8.306 8.306 8.306 Å, 149.50 113.35 75.05°
Sites, in units of the cell vectors:
Ca 0.000 0.000 0.000
Ca 0.299 0.299 0.000
Ca 0.701 0.701 0.000
Zn 0.023 0.665 0.358
Zn 0.154 0.869 0.286
Zn 0.303 0.500 0.803
Zn 0.307 0.665 0.642
Zn 0.417 0.131 0.286
Zn 0.500 0.000 0.500
Zn 0.583 0.869 0.714
Zn 0.693 0.335 0.358
Zn 0.697 0.500 0.197
Zn 0.846 0.131 0.714
Zn 0.977 0.335 0.642

Computed properties:
Space-group type ... Immm, No. 71

no.,DFT formation energy (eV/atom),raw total energy (eV per atom),ρ (Mg/m³)
1,-0.19,-1.7047,4.42
2,-0.10,-1.8262,2.87
3,-0.25,-1.6771,5.31